(1)
A geometry-optimized Zr2GaHIr structure, computed with PBE-GGA.

## Properties
raw total energy = -35.0 eV/cell
space group = No. 123
size of the total moment = 0.00 μB per formula unit

abc: 4.426 4.426 3.877
angles: 90.00 90.00 90.00
Sites, in units of the cell vectors:
Zr (0.000, 0.500, 0.000)
Zr (0.500, 0.000, 0.000)
Ga (0.000, 0.000, 0.500)
H (0.500, 0.500, 0.000)
Ir (0.500, 0.500, 0.500)

***

(2)
A geometry-optimized SrCaRe2 structure, computed with PBE-GGA.

## Properties
space group = No. 123
distance to the lowest polymorph of the same formula = 2.96 eV/f.u.
formation energy from the elements = 4.3 eV per formula unit
size of the total moment = 0.00 μB per formula unit

abc: 3.949 3.949 5.202
angles: 90.00 90.00 90.00
Sites, in units of the cell vectors:
Sr (0.000, 0.000, 0.000)
Ca (0.500, 0.500, 0.000)
Re (0.000, 0.500, 0.500)
Re (0.500, 0.000, 0.500)

***

(3)
A geometry-optimized Zr12Bi6Os structure, computed with PBE-GGA.

## Properties
space group = No. 148
formation energy from the elements = -0.3 eV per formula unit
size of the total moment = 0.00 μB per formula unit

abc: 8.129 8.129 8.129
angles: 101.04 101.04 101.04
Sites, in units of the cell vectors:
Zr (0.014, 0.059, 0.324)
Zr (0.059, 0.324, 0.014)
Zr (0.217, 0.513, 0.404)
Zr (0.324, 0.014, 0.059)
Zr (0.404, 0.217, 0.513)
Zr (0.487, 0.596, 0.783)
Zr (0.513, 0.404, 0.217)
Zr (0.596, 0.783, 0.487)
Zr (0.676, 0.986, 0.941)
Zr (0.783, 0.487, 0.596)
Zr (0.941, 0.676, 0.986)
Zr (0.986, 0.941, 0.676)
Bi (0.109, 0.337, 0.667)
Bi (0.333, 0.891, 0.663)
Bi (0.337, 0.667, 0.109)
Bi (0.663, 0.333, 0.891)
Bi (0.667, 0.109, 0.337)
Bi (0.891, 0.663, 0.333)
Os (0.000, 0.000, 0.000)

***

(4)
A geometry-optimized LiPb structure, computed with PBE-GGA.

## Properties
space group = No. 194
formation energy from the elements = 0.3 eV per formula unit
size of the total moment = 0.00 μB per formula unit

abc: 4.948 4.948 5.377
angles: 90.00 90.00 120.00
Sites, in units of the cell vectors:
Li (0.333, 0.667, 0.250)
Li (0.667, 0.333, 0.750)
Pb (0.333, 0.667, 0.750)
Pb (0.667, 0.333, 0.250)

***

(5)
A geometry-optimized K2CO4 structure, computed with PBE-GGA.

## Properties
E_form (uncorrected) = -1258 meV per atom
space group = No. 11
distance to the lowest polymorph of the same formula = 0.00 eV/f.u.
size of the total moment = 0.00 μB per formula unit

abc: 5.916 5.628 6.761
angles: 90.00 115.68 90.00
Sites, in units of the cell vectors:
K (0.062, 0.250, 0.365)
K (0.319, 0.250, 0.012)
K (0.681, 0.750, 0.988)
K (0.938, 0.750, 0.635)
C (0.303, 0.750, 0.289)
C (0.697, 0.250, 0.711)
O (0.115, 0.750, 0.341)
O (0.273, 0.750, 0.083)
O (0.479, 0.530, 0.384)
O (0.479, 0.970, 0.384)
O (0.521, 0.030, 0.616)
O (0.521, 0.470, 0.616)
O (0.727, 0.250, 0.917)
O (0.885, 0.250, 0.659)

***

(6)
A geometry-optimized Tb2NpRu3 structure, computed with PBE-GGA.

## Properties
space group = No. 194
distance to the lowest polymorph of the same formula = 0.00 eV/f.u.
formation energy from the elements = -2.3 eV per formula unit
size of the total moment = 1.43 μB per formula unit

abc: 5.831 5.831 7.978
angles: 90.00 90.00 120.00
Sites, in units of the cell vectors:
Tb (0.333, 0.667, 0.058)
Tb (0.333, 0.667, 0.442)
Tb (0.667, 0.333, 0.558)
Tb (0.667, 0.333, 0.942)
Np (0.000, 0.000, 0.000)
Np (0.000, 0.000, 0.500)
Ru (0.165, 0.331, 0.750)
Ru (0.165, 0.835, 0.750)
Ru (0.331, 0.165, 0.250)
Ru (0.669, 0.835, 0.750)
Ru (0.835, 0.165, 0.250)
Ru (0.835, 0.669, 0.250)